Entry 1:
Ba2Pu3Te6 | GGA-PBE | relaxed

Unit cell a=7.924 b=7.921 c=8.448 alpha=81.01 beta=71.79 gamma=59.99
Site moments in Bohr magnetons follow the coordinates.
Element x y z (fractional)
Ba  0.167  0.666  0.500  0.01
Ba  0.833  0.334  0.500  0.01
Pu  0.000  0.000  0.000  5.34
Pu  0.333  0.333  0.000  5.34
Pu  0.667  0.667  0.000  5.34
Te  0.406  0.667  0.782  -0.08
Te  0.739  0.000  0.783  -0.09
Te  0.073  0.333  0.782  -0.08
Te  0.261  0.000  0.217  -0.09
Te  0.594  0.333  0.218  -0.08
Te  0.927  0.667  0.218  -0.08

Properties
- VASP energy: -7.2620 eV per atom
- Total moment: 16.0 Bohr magnetons per cell

Entry 2:
Ba2PuZnTe5 | GGA-PBE | relaxed

Unit cell a=4.591 b=10.370 c=14.072 alpha=90.00 beta=90.00 gamma=102.79
Site moments in Bohr magnetons follow the coordinates.
Element x y z (fractional)
Ba  0.877  0.755  0.822  -0.01
Ba  0.116  0.233  0.691  -0.01
Ba  0.123  0.245  0.322  -0.01
Ba  0.884  0.767  0.191  -0.01
Pu  0.798  0.596  0.518  4.93
Pu  0.202  0.404  0.018  4.93
Zn  0.563  0.127  0.937  -0.01
Zn  0.437  0.873  0.437  -0.01
Te  0.352  0.703  0.008  -0.12
Te  0.694  0.388  0.869  -0.12
Te  0.501  0.001  0.774  -0.05
Te  0.295  0.591  0.663  -0.16
Te  0.949  0.898  0.542  -0.14
Te  0.648  0.297  0.508  -0.12
Te  0.306  0.612  0.369  -0.12
Te  0.499  0.999  0.274  -0.05
Te  0.705  0.409  0.163  -0.16
Te  0.051  0.102  0.042  -0.14

Properties
- VASP energy: -5.0584 eV per atom
- Total moment: 8.0 Bohr magnetons per cell

Entry 3:
BaPu2Tl9 | GGA-PBE | relaxed

Unit cell a=4.916 b=4.916 c=14.635 alpha=90.00 beta=90.00 gamma=90.00
Site moments in Bohr magnetons follow the coordinates.
Element x y z (fractional)
Ba  0.000  0.000  0.000  0.00
Pu  0.000  0.000  0.343  5.47
Pu  0.000  0.000  0.657  5.47
Tl  0.500  0.500  0.000  -0.01
Tl  0.500  0.500  0.338  0.00
Tl  0.500  0.500  0.662  0.00
Tl  0.500  0.000  0.181  0.00
Tl  0.500  0.000  0.500  0.02
Tl  0.500  0.000  0.819  0.00
Tl  0.000  0.500  0.181  0.00
Tl  0.000  0.500  0.500  0.02
Tl  0.000  0.500  0.819  0.00

Properties
- Energy of formation from the pure elements: -0.090 eV/atom
- VASP energy: -4.4138 eV per atom
- Total moment: 11.6 Bohr magnetons per cell

Entry 4:
Ba2PuTl | GGA-PBE | relaxed

Unit cell a=3.920 b=3.920 c=13.146 alpha=81.43 beta=81.43 gamma=60.00
Site moments in Bohr magnetons follow the coordinates.
Element x y z (fractional)
Tl  0.500  0.500  0.500  0.01
Ba  0.095  0.095  0.715  0.01
Ba  0.905  0.905  0.285  0.01
Pu  0.000  0.000  0.000  5.85

Properties
- Energy of formation from the pure elements: 0.326 eV/atom
- VASP energy: -4.8095 eV per atom
- Total moment: 6.6 Bohr magnetons per cell

Entry 5:
BaPuTl2 | GGA-PBE | relaxed

Unit cell a=4.013 b=4.013 c=8.310 alpha=90.00 beta=90.00 gamma=90.00
Site moments in Bohr magnetons follow the coordinates.
Element x y z (fractional)
Tl  0.000  0.000  0.785  0.01
Tl  0.000  0.000  0.215  0.01
Ba  0.500  0.500  0.500  0.00
Pu  0.500  0.500  0.000  5.54

Properties
- Energy of formation from the pure elements: -0.157 eV/atom
- VASP energy: -5.4042 eV per atom
- Total moment: 5.9 Bohr magnetons per cell

Entry 6:
BaPuZn10 | GGA-PBE | relaxed

Unit cell a=4.302 b=5.549 c=9.535 alpha=90.00 beta=90.00 gamma=90.00
Site moments in Bohr magnetons follow the coordinates.
Element x y z (fractional)
Ba  0.000  0.000  0.000  0.01
Pu  0.000  0.500  0.500  -5.35
Zn  0.000  0.000  0.344  0.00
Zn  0.000  0.500  0.823  0.01
Zn  0.000  0.500  0.177  0.01
Zn  0.000  0.000  0.656  0.00
Zn  0.500  0.000  0.500  0.01
Zn  0.500  0.500  0.000  0.01
Zn  0.500  0.263  0.268  0.00
Zn  0.500  0.737  0.732  0.00
Zn  0.500  0.737  0.268  0.00
Zn  0.500  0.263  0.732  0.00

Properties
- Energy of formation from the pure elements: -0.142 eV/atom
- VASP energy: -2.5585 eV per atom
- Total moment: 5.6 Bohr magnetons per cell

Entry 7:
BaPuZn4 | GGA-PBE | relaxed

Unit cell a=5.764 b=5.764 c=5.764 alpha=60.00 beta=60.00 gamma=60.00
Site moments in Bohr magnetons follow the coordinates.
Element x y z (fractional)
Zn  0.626  0.626  0.121  0.01
Zn  0.626  0.121  0.626  0.01
Zn  0.626  0.626  0.626  0.01
Zn  0.121  0.626  0.626  0.01
Ba  0.250  0.250  0.250  0.06
Pu  0.000  0.000  0.000  5.54

Properties
- Energy of formation from the pure elements: -0.004 eV/atom
- VASP energy: -3.5626 eV per atom
- Total moment: 6.0 Bohr magnetons per cell

Entry 8:
Rb3Ba | GGA-PBE | relaxed

Unit cell a=6.879 b=6.879 c=6.879 alpha=90.00 beta=90.00 gamma=90.00
Element x y z (fractional)
Ba  0.000  0.000  0.000
Rb  0.000  0.500  0.500
Rb  0.500  0.000  0.500
Rb  0.500  0.500  0.000

Properties
- Energy of formation from the pure elements: 0.136 eV/atom
- VASP energy: -1.0704 eV per atom
- Total moment: 0.0 Bohr magnetons per cell

Entry 9:
Rb3Ba | GGA-PBE | relaxed

Unit cell a=4.698 b=8.602 c=9.419 alpha=117.17 beta=104.44 gamma=90.00
Element x y z (fractional)
Ba  0.000  0.009  0.000
Rb  0.251  0.575  0.501
Rb  0.500  0.509  0.000
Rb  0.749  0.074  0.499

Properties
- Energy of formation from the pure elements: 0.110 eV/atom
- VASP energy: -1.0960 eV per atom
- Total moment: 0.0 Bohr magnetons per cell

Entry 10:
Rb3Ba | GGA-PBE | relaxed

Unit cell a=7.750 b=7.750 c=7.750 alpha=60.00 beta=60.00 gamma=60.00
Element x y z (fractional)
Ba  0.000  0.000  0.000
Rb  0.250  0.250  0.250
Rb  0.750  0.750  0.750
Rb  0.500  0.500  0.500

Properties
- Energy of formation from the pure elements: 0.144 eV/atom
- VASP energy: -1.0621 eV per atom
- Total moment: 0.0 Bohr magnetons per cell

Entry 11:
Rb3Ba | GGA-PBE | relaxed

Unit cell a=4.683 b=8.049 c=8.651 alpha=90.00 beta=90.00 gamma=90.00
Element x y z (fractional)
Ba  0.000  0.000  0.010
Rb  0.500  0.000  0.512
Rb  0.500  0.500  0.829
Rb  0.000  0.500  0.316

Properties
- Energy of formation from the pure elements: 0.109 eV/atom
- VASP energy: -1.0975 eV per atom
- Total moment: 0.0 Bohr magnetons per cell

Entry 12:
RbBa2 | GGA-PBE | relaxed

Unit cell a=8.676 b=8.676 c=8.676 alpha=60.00 beta=60.00 gamma=60.00
Element x y z (fractional)
Ba  0.125  0.625  0.625
Ba  0.625  0.125  0.625
Ba  0.625  0.625  0.625
Ba  0.625  0.625  0.125
Rb  0.000  0.000  0.000
Rb  0.250  0.250  0.250

Properties
- Energy of formation from the pure elements: 0.180 eV/atom
- VASP energy: -1.4246 eV per atom
- Total moment: 0.0 Bohr magnetons per cell

> Look up the total moment of the twelfth one.

0.0 Bohr magnetons per cell